A relaxed structure of ScNiIO6. Source: the Alexandria database, functional GGA+U.

Space group: P-31c (163)
Final energy (eV/atom): -5.76

Cell and atoms, written as POSCAR:
```
ScNiIO6
1.0
5.253 0.000 0.000
-2.627 4.550 0.000
0.000 0.000 8.869
O Ni Sc I
12 2 2 2
Direct
0.365 0.030 0.131 O
0.030 0.665 0.869 O
0.335 0.970 0.631 O
0.970 0.335 0.131 O
0.665 0.635 0.131 O
0.030 0.365 0.631 O
0.335 0.365 0.869 O
0.635 0.665 0.631 O
0.665 0.030 0.369 O
0.365 0.335 0.369 O
0.970 0.635 0.369 O
0.635 0.970 0.869 O
0.000 0.000 0.500 Ni
0.000 0.000 0.000 Ni
0.333 0.667 0.250 Sc
0.667 0.333 0.750 Sc
0.667 0.333 0.250 I
0.333 0.667 0.750 I
```